CaZnW2: relaxed, GGA-PBE.

Cell and atoms, written as extended XYZ:
```
4
Lattice="3.4190 0.0000 0.0000 0.0000 3.4190 0.0000 0.0000 0.0000 6.8106" Properties=species:S:1:pos:R:3 pbc="T T T"
Ca 0.0000 0.0000 0.0000
Zn 0.0000 0.0000 3.4053
W 1.7095 1.7095 2.2412
W 1.7095 1.7095 4.5694
```

Output
Total DFT energy (no corrections)   -26.077 eV per cell
Space group   P4/mmm, No. 123
Spin magnetization   0.00 μB per cell